Record 1
! Ag2S4Cl, optimized geometry, DFT GGA-PBE; values from VASP
&SYSTEM
  ibrav = 0, nat = 7, ntyp = 3
/
ATOMIC_SPECIES
Ag 107.87 Ag.upf
S 32.06 S.upf
Cl 35.45 Cl.upf
CELL_PARAMETERS angstrom
2.165 0.731 6.670
-2.607 -1.882 2.175
-3.871 -11.861 -1.065
ATOMIC_POSITIONS crystal
Ag 0.816 0.417 0.088
Ag 0.184 0.583 0.912
S 0.310 0.227 0.809
S 0.808 0.233 0.432
S 0.690 0.773 0.191
S 0.192 0.767 0.568
Cl 0.000 0.000 0.000
! **Size of the total moment**: 0.00 μB/f.u.
! **Total energy**: -24.4 eV/cell
! **Energy relative to the elements, uncorrected**: -0.4 eV per formula unit


Record 2
! TlW2Cl, optimized geometry, DFT GGA-PBE; values from VASP
&SYSTEM
  ibrav = 0, nat = 4, ntyp = 3
/
ATOMIC_SPECIES
W 183.84 W.upf
Cl 35.45 Cl.upf
Tl 204.38 Tl.upf
CELL_PARAMETERS angstrom
10.264 -0.020 -0.012
9.753 3.200 -0.012
9.753 1.549 2.800
ATOMIC_POSITIONS crystal
W 0.979 0.979 0.979
W 0.257 0.257 0.257
Cl 0.527 0.527 0.527
Tl 0.736 0.736 0.736
! **ΔE to the lowest computed polymorph**: 29 meV per atom
! **Size of the total moment**: 0.00 μB/f.u.
! **Total energy**: -28.8 eV/cell
! **Energy relative to the elements, uncorrected**: 1.3 eV per formula unit


Record 3
! Hf15Tl2In2, optimized geometry, DFT GGA-PBE; values from VASP
&SYSTEM
  ibrav = 0, nat = 19, ntyp = 3
/
ATOMIC_SPECIES
Hf 178.49 Hf.upf
In 114.82 In.upf
Tl 204.38 Tl.upf
CELL_PARAMETERS angstrom
7.632 -0.197 1.563
1.236 7.534 1.563
-0.238 -0.197 7.787
ATOMIC_POSITIONS crystal
Hf 0.000 0.500 0.000
Hf 0.697 0.303 0.000
Hf 0.500 0.000 0.000
Hf 0.303 0.000 0.697
Hf 0.841 0.366 0.366
Hf 0.366 0.841 0.366
Hf 0.697 0.000 0.303
Hf 0.000 0.303 0.697
Hf 0.000 0.697 0.303
Hf 0.303 0.697 0.000
Hf 0.366 0.366 0.841
Hf 0.000 0.000 0.500
Hf 0.159 0.634 0.634
Hf 0.634 0.159 0.634
Hf 0.634 0.634 0.159
In 0.903 0.903 0.903
In 0.097 0.097 0.097
Tl 0.328 0.328 0.328
Tl 0.672 0.672 0.672
! **Size of the total moment**: 0.01 μB/f.u.
! **Total energy**: -151.6 eV/cell
! **Calculated formation energy**: 7.9 eV/f.u.


Record 4
! CsNaLaC, optimized geometry, DFT GGA-PBE; values from VASP
&SYSTEM
  ibrav = 0, nat = 8, ntyp = 4
/
ATOMIC_SPECIES
La 138.91 La.upf
Cs 132.91 Cs.upf
Na 22.99 Na.upf
C 12.01 C.upf
CELL_PARAMETERS angstrom
10.512 0.000 -0.005
0.000 4.014 0.000
-1.506 0.000 6.793
ATOMIC_POSITIONS crystal
La 0.831 0.500 0.861
La 0.831 0.000 0.361
Cs 0.147 0.500 0.631
Cs 0.147 0.000 0.131
Na 0.523 0.000 0.595
Na 0.523 0.500 0.095
C 0.918 0.500 0.223
C 0.918 0.000 0.723
! **ΔE to the lowest computed polymorph**: 0 meV per atom
! **Size of the total moment**: 0.01 μB/f.u.
! **Total energy**: -29.6 eV/cell
! **Calculated formation energy**: 1.5 eV/f.u.


Record 5
! La3PdN, optimized geometry, DFT GGA-PBE; values from VASP
&SYSTEM
  ibrav = 0, nat = 5, ntyp = 3
/
ATOMIC_SPECIES
N 14.01 N.upf
La 138.91 La.upf
Pd 106.42 Pd.upf
CELL_PARAMETERS angstrom
5.034 0.000 0.000
0.000 5.034 0.000
0.000 0.000 5.034
ATOMIC_POSITIONS crystal
N 0.000 0.000 0.000
La 0.000 0.000 0.500
La 0.000 0.500 0.000
La 0.500 0.000 0.000
Pd 0.500 0.500 0.500
! **ΔE to the lowest computed polymorph**: 73 meV per atom
! **Size of the total moment**: 0.00 μB/f.u.
! **Total energy**: -31.9 eV/cell
! **Energy relative to the elements, uncorrected**: -3.6 eV per formula unit


Record 6
! La8AsS6, optimized geometry, DFT GGA-PBE; values from VASP
&SYSTEM
  ibrav = 0, nat = 15, ntyp = 3
/
ATOMIC_SPECIES
La 138.91 La.upf
S 32.06 S.upf
As 74.92 As.upf
CELL_PARAMETERS angstrom
4.271 0.000 0.000
0.000 9.160 -5.289
0.000 0.000 10.577
ATOMIC_POSITIONS crystal
La 0.743 0.706 0.672
La 0.743 0.328 0.033
La 0.257 0.294 0.328
La 0.743 0.967 0.294
La 0.257 0.033 0.706
La 0.749 0.333 0.667
La 0.257 0.672 0.967
La 0.251 0.667 0.333
S 0.248 0.518 0.651
S 0.752 0.482 0.349
S 0.752 0.867 0.518
S 0.248 0.133 0.482
S 0.752 0.651 0.133
S 0.248 0.349 0.867
As 0.500 0.000 0.000
! **Size of the total moment**: 0.00 μB/f.u.
! **Total energy**: -93.7 eV/cell
! **Energy relative to the elements, uncorrected**: -24.9 eV per formula unit


Record 7
! Pm3HoC2, optimized geometry, DFT GGA-PBE; values from VASP
&SYSTEM
  ibrav = 0, nat = 12, ntyp = 3
/
ATOMIC_SPECIES
Ho 164.93 Ho.upf
Pm 145.00 Pm.upf
C 12.01 C.upf
CELL_PARAMETERS angstrom
3.569 0.000 0.735
1.631 8.293 1.113
-0.173 -1.217 9.871
ATOMIC_POSITIONS crystal
Ho 0.559 0.586 0.297
Ho 0.441 0.414 0.703
Pm 0.941 0.915 0.203
Pm 0.311 0.332 0.047
Pm 0.059 0.085 0.797
Pm 0.810 0.830 0.551
Pm 0.190 0.170 0.449
Pm 0.689 0.668 0.953
C 0.377 0.869 0.376
C 0.623 0.131 0.624
C 0.124 0.620 0.132
C 0.876 0.380 0.868
! **Size of the total moment**: 0.35 μB/f.u.
! **Total energy**: -76.7 eV/cell
! **Calculated formation energy**: -1.1 eV/f.u.


Record 8
! HfNiAs3, optimized geometry, DFT GGA-PBE; values from VASP
&SYSTEM
  ibrav = 0, nat = 5, ntyp = 3
/
ATOMIC_SPECIES
Ni 58.69 Ni.upf
As 74.92 As.upf
Hf 178.49 Hf.upf
CELL_PARAMETERS angstrom
5.090 0.000 0.000
0.000 5.090 0.000
0.000 0.000 5.090
ATOMIC_POSITIONS crystal
Ni 0.500 0.500 0.500
As 0.000 0.500 0.000
As 0.500 0.000 0.000
As 0.000 0.000 0.500
Hf 0.000 0.000 0.000
! **ΔE to the lowest computed polymorph**: 461 meV per atom
! **Size of the total moment**: 0.80 μB/f.u.
! **Total energy**: -26.1 eV/cell
! **Calculated formation energy**: 3.6 eV/f.u.